Here is an optimized crystal structure of BaIn2Hg from the Alexandria database. Energies are from GGA-PBE.

Cell lengths 5.002, 5.002, 6.781 Å; angles 68.53, 68.54, 59.85 degrees
Atoms (fractional coordinates):
In (0.718, 0.718, 0.845)
In (0.005, 0.005, 0.985)
Hg (0.274, 0.274, 0.179)
Ba (0.503, 0.503, 0.491)

Energy of formation ... -350 meV per atom
Total moment ... 0.00 μB/atom
Symmetry ... No. 8
Electronic total energy ... -2.28 eV per atom

---

Here is an optimized crystal structure of Ba2In3Hg2 from the Alexandria database. Energies are from GGA-PBE.

Cell lengths 5.180, 6.597, 7.665 Å; angles 109.05, 90.00, 113.12 degrees
Atoms (fractional coordinates):
Ba (0.848, 0.697, 0.223)
Ba (0.152, 0.303, 0.777)
Hg (0.155, 0.311, 0.261)
Hg (0.845, 0.689, 0.739)
In (0.405, 0.809, 0.579)
In (0.595, 0.191, 0.421)
In (0.500, 0.000, 0.000)

Energy of formation ... -383 meV per atom
Total moment ... 0.00 μB/atom
Symmetry ... No. 12
Electronic total energy ... -2.19 eV per atom

---

Here is an optimized crystal structure of BaIn3Hg4 from the Alexandria database. Energies are from GGA-PBE.

Cell lengths 5.237, 5.237, 8.717 Å; angles 90.00, 90.00, 90.00 degrees
Atoms (fractional coordinates):
In (0.000, 0.000, 0.000)
In (0.500, 0.500, 0.665)
In (0.500, 0.500, 0.335)
Ba (0.000, 0.000, 0.500)
Hg (0.000, 0.500, 0.817)
Hg (0.000, 0.500, 0.183)
Hg (0.500, 0.000, 0.817)
Hg (0.500, 0.000, 0.183)

Energy of formation ... -206 meV per atom
Total moment ... 0.00 μB/atom
Symmetry ... No. 123
Electronic total energy ... -1.62 eV per atom

---

Here is an optimized crystal structure of BaIn4Hg2 from the Alexandria database. Energies are from GGA-PBE.

Cell lengths 4.800, 4.825, 9.232 Å; angles 105.15, 90.00, 90.00 degrees
Atoms (fractional coordinates):
In (0.500, 0.813, 0.625)
In (0.500, 0.187, 0.375)
In (0.000, 0.311, 0.622)
In (0.000, 0.689, 0.378)
Hg (0.500, 0.582, 0.165)
Hg (0.500, 0.418, 0.835)
Ba (0.000, 0.000, 0.000)

Energy of formation ... -255 meV per atom
Total moment ... 0.00 μB/atom
Symmetry ... No. 65
Electronic total energy ... -2.18 eV per atom

---

Here is an optimized crystal structure of BaInHg from the Alexandria database. Energies are from GGA-PBE.

Cell lengths 6.844, 6.843, 3.980 Å; angles 73.11, 73.08, 33.81 degrees
Atoms (fractional coordinates):
Hg (0.316, 0.316, 0.684)
Ba (0.994, 0.994, 0.006)
In (0.689, 0.689, 0.311)

Energy of formation ... -349 meV per atom
Total moment ... 0.00 μB/atom
Symmetry ... No. 107
Electronic total energy ... -2.00 eV per atom

---

Here is an optimized crystal structure of BaIn12Hg4 from the Alexandria database. Energies are from GGA-PBE.

Cell lengths 8.741, 8.741, 8.741 Å; angles 109.47, 109.47, 109.47 degrees
Atoms (fractional coordinates):
In (0.493, 0.848, 0.645)
In (0.797, 0.152, 0.645)
In (0.848, 0.355, 0.203)
In (0.152, 0.645, 0.797)
In (0.645, 0.493, 0.848)
In (0.355, 0.203, 0.848)
In (0.355, 0.507, 0.152)
In (0.507, 0.152, 0.355)
In (0.848, 0.645, 0.493)
In (0.645, 0.797, 0.152)
In (0.152, 0.355, 0.507)
In (0.203, 0.848, 0.355)
Ba (0.000, 0.000, 0.000)
Hg (0.500, 0.000, 0.000)
Hg (0.500, 0.500, 0.500)
Hg (0.000, 0.000, 0.500)
Hg (0.000, 0.500, 0.000)

Energy of formation ... 2 meV per atom
Total moment ... 0.00 μB/atom
Symmetry ... No. 204
Electronic total energy ... -2.12 eV per atom

---

Here is an optimized crystal structure of BaInHg from the Alexandria database. Energies are from GGA-PBE.

Cell lengths 5.407, 5.407, 5.407 Å; angles 60.00, 60.00, 60.00 degrees
Atoms (fractional coordinates):
Ba (0.500, 0.500, 0.500)
In (0.000, 0.000, 0.000)
Hg (0.750, 0.750, 0.750)

Energy of formation ... -324 meV per atom
Total moment ... 0.00 μB/atom
Symmetry ... No. 216
Electronic total energy ... -1.98 eV per atom

---

Here is an optimized crystal structure of BaIn2Hg from the Alexandria database. Energies are from GGA-PBE.

Cell lengths 4.882, 4.882, 7.024 Å; angles 69.61, 69.61, 60.06 degrees
Atoms (fractional coordinates):
In (0.968, 0.968, 0.096)
In (0.532, 0.532, 0.404)
Hg (0.250, 0.250, 0.250)
Ba (0.750, 0.750, 0.750)

Energy of formation ... -319 meV per atom
Total moment ... 0.00 μB/atom
Symmetry ... No. 12
Electronic total energy ... -2.24 eV per atom

---

Here is an optimized crystal structure of Ba3In2Hg from the Alexandria database. Energies are from GGA-PBE.

Cell lengths 4.253, 4.253, 12.798 Å; angles 90.00, 90.00, 90.00 degrees
Atoms (fractional coordinates):
Ba (0.000, 0.000, 0.665)
Ba (0.000, 0.000, 0.335)
Ba (0.000, 0.000, 0.000)
Hg (0.500, 0.500, 0.500)
In (0.500, 0.500, 0.835)
In (0.500, 0.500, 0.165)

Energy of formation ... -438 meV per atom
Total moment ... 0.00 μB/atom
Symmetry ... No. 123
Electronic total energy ... -2.36 eV per atom

---

Here is an optimized crystal structure of Ba2InHgIr from the Alexandria database. Energies are from GGA-PBE.

Cell lengths 6.079, 6.079, 5.198 Å; angles 90.00, 90.00, 90.00 degrees
Atoms (fractional coordinates):
Ba (0.500, 0.000, 0.000)
Ba (0.000, 0.500, 0.000)
In (0.000, 0.000, 0.500)
Ir (0.000, 0.000, 0.000)
Hg (0.500, 0.500, 0.500)

Energy of formation ... -291 meV per atom
Total moment ... 0.00 μB/atom
Symmetry ... No. 123
Electronic total energy ... -3.44 eV per atom

---

Here is an optimized crystal structure of BaIn2HgIr from the Alexandria database. Energies are from GGA-PBE.

Cell lengths 5.217, 5.217, 6.060 Å; angles 90.00, 90.00, 90.00 degrees
Atoms (fractional coordinates):
Hg (0.500, 0.500, 0.500)
Ba (0.000, 0.000, 0.500)
In (0.000, 0.500, 0.000)
In (0.500, 0.000, 0.000)
Ir (0.000, 0.000, 0.000)

Energy of formation ... -258 meV per atom
Total moment ... 0.00 μB/atom
Symmetry ... No. 123
Electronic total energy ... -3.57 eV per atom
Energy above the most stable polymorph in this dataset ... 0.0323 eV per atom

---

Here is an optimized crystal structure of BaInHg2Ir from the Alexandria database. Energies are from GGA-PBE.

Cell lengths 5.360, 5.360, 5.139 Å; angles 90.00, 90.00, 90.00 degrees
Atoms (fractional coordinates):
Hg (0.500, 0.000, 0.000)
Hg (0.000, 0.500, 0.000)
Ba (0.500, 0.500, 0.500)
Ir (0.000, 0.000, 0.000)
In (0.000, 0.000, 0.500)

Energy of formation ... -249 meV per atom
Total moment ... 0.00 μB/atom
Symmetry ... No. 123
Electronic total energy ... -3.07 eV per atom